No. 1
A relaxed MnMo2Cl crystal, computed with GGA-PBE.

Calculated values
* energy relative to the elements, uncorrected: 0.392 eV/atom
* space-group type: R-3m
* density of states at the Fermi level: 1.163 states/eV per atom
* energy relative to the lowest polymorph listed for this composition: 221 meV/atom
* calculated volume: 58.26 Å³ per cell
* calculated total energy: -31.110 eV per cell

Unit cell a=8.5344 b=8.5344 c=8.5344 alpha=19.12 beta=19.12 gamma=19.12
With the nearest neighbours (Å) after each atom.
Fractional positions:
Cl (0.2500, 0.2500, 0.2500)  6 Mo 2.70, 6 Cl 2.83
Mn (0.7500, 0.7500, 0.7500)  6 Mo 2.61, 6 Mn 2.83
Mo (0.0023, 0.0023, 0.0023)  3 Mn 2.61, 3 Cl 2.70, 6 Mo 2.83
Mo (0.4977, 0.4977, 0.4977)  3 Mn 2.61, 3 Cl 2.70, 6 Mo 2.83

=====

No. 2
A relaxed RbHgSe2Br crystal, computed with GGA-PBE.

Calculated values
* energy relative to the elements, uncorrected: -0.304 eV/atom
* space-group type: P4/mmm
* density of states at the Fermi level: 1.616 states/eV per atom
* energy relative to the lowest polymorph listed for this composition: 0 meV/atom
* calculated volume: 174.67 Å³ per cell
* calculated total energy: -11.430 eV per cell

Unit cell a=5.2832 b=5.2832 c=6.2579 alpha=90.00 beta=90.00 gamma=90.00
With the nearest neighbours (Å) after each atom.
Fractional positions:
Br (0.0000, 0.0000, 0.5000)  2 Hg 3.13
Se (0.0000, 0.5000, 0.0000)  2 Hg 2.64
Se (0.5000, 0.0000, 0.0000)  2 Hg 2.64
Hg (0.0000, 0.0000, 0.0000)  4 Se 2.64
Rb (0.5000, 0.5000, 0.5000)  4 Br 3.74, 8 Se 4.09

=====

No. 3
A relaxed Al5Sb crystal, computed with GGA-PBE.

Calculated values
* energy relative to the elements, uncorrected: 0.134 eV/atom
* space-group type: Amm2
* density of states at the Fermi level: 0.296 states/eV per atom
* energy relative to the lowest polymorph listed for this composition: 15 meV/atom
* calculated volume: 116.66 Å³ per cell
* calculated total energy: -22.032 eV per cell

Unit cell a=9.0737 b=9.0737 c=4.4586 alpha=90.00 beta=90.00 gamma=161.47
With the nearest neighbours (Å) after each atom.
Fractional positions:
Al (0.9834, 0.0166, 0.0000)  8 Al 2.82-3.03, 2 Sb 3.07
Al (0.3351, 0.6649, 0.0000)  12 Al 2.80-3.03
Al (0.6931, 0.3069, 0.0000)  6 Al 2.80-2.93, 4 Sb 3.13
Al (0.4321, 0.5679, 0.5000)  10 Al 2.82-2.97
Al (0.7880, 0.2120, 0.5000)  10 Al 2.80-2.97
Sb (0.1016, 0.8984, 0.5000)  2 Sb 2.92, 6 Al 3.07-3.13